VASP calculation (GGA-PBE) on a relaxed MnBrN3 crystal.

```
data_MnBrN3
_chemical_formula_sum 'Mn1 Br1 N3'
_symmetry_space_group_name_H-M 'P 1'
_symmetry_Int_Tables_number 1
_cell_length_a 3.8760
_cell_length_b 3.8760
_cell_length_c 3.8760
_cell_angle_alpha 90.00
_cell_angle_beta 90.00
_cell_angle_gamma 90.00
loop_
_symmetry_equiv_pos_as_xyz
'x,y,z'
loop_
_atom_site_label
_atom_site_type_symbol
_atom_site_fract_x
_atom_site_fract_y
_atom_site_fract_z
_atom_site_occupancy
Mn1 Mn 0.5000 0.5000 0.5000 1
Br1 Br 0.0000 0.0000 0.0000 1
N1 N 0.0000 0.5000 0.0000 1
N2 N 0.0000 0.0000 0.5000 1
N3 N 0.5000 0.0000 0.0000 1
```

Computed properties:
Uncorrected formation energy   239 kJ per mole of atoms
Spin magnetization   0.6890 μB per atom
N(E_F)   3.56 states/eV/cell